(1)
TbTiCo: optimized geometry, PBE.

a b c (Å): 3.181 3.181 11.175
angles (deg): 90.00 90.00 90.00
Space group I4mm (No. 107)
Inequivalent atoms, fractional coordinates:
Tb 0.000 0.000 0.000 x2
Ti 0.000 0.000 0.724 x2
Co 0.000 0.000 0.309 x2

Its energy above the most stable polymorph in this dataset is 180 meV per atom. Its crystal system is tetragonal.

=====

(2)
RbTlAuBr: optimized geometry, PBE.

a b c (Å): 8.078 8.078 8.078
angles (deg): 90.00 90.00 90.00
Space group F-43m (No. 216)
Inequivalent atoms, fractional coordinates:
Rb 0.000 0.000 0.000 x4
Tl 0.000 0.000 0.500 x4
Au 0.250 0.250 0.750 x4
Br 0.250 0.250 0.250 x4

Its crystal system is cubic. Its uncorrected formation energy is -0.612 eV per atom.

=====

(3)
AcPr2Hg3: optimized geometry, PBE.

a b c (Å): 3.923 3.923 11.804
angles (deg): 90.00 90.00 90.00
Space group P4/mmm (No. 123)
Inequivalent atoms, fractional coordinates:
Ac 0.000 0.000 0.000 x1
Pr 0.000 0.000 0.339 x2
Hg 0.500 0.500 0.181 x2
Hg 0.500 0.500 0.500 x1

The final energy is -2.8952 eV/atom. Its crystal system is tetragonal.

=====

(4)
Co3Ir12Os4: optimized geometry, PBE.

a b c (Å): 9.219 9.219 9.219
angles (deg): 90.00 90.00 90.00
Space group Im-3 (No. 204)
Inequivalent atoms, fractional coordinates:
Co 0.000 0.000 0.500 x6
Ir 0.000 0.274 0.361 x24
Os 0.250 0.250 0.250 x8

The final energy is -8.2547 eV/atom. Its crystal system is cubic.